(1)
DFT (GGA-PBE) results for a relaxed structure of HoLuIr2.

a = 4.784 Å, b = 4.784 Å, c = 4.784 Å
α = 60.00°, β = 60.00°, γ = 60.00°
Fractional positions:
Ho1 0.000 0.000 0.000
Lu1 0.500 0.500 0.500
Ir1 0.250 0.250 0.250
Ir2 0.750 0.750 0.750

Computed properties:
Its symmetry is Fm-3m.

=====

(2)
DFT (GGA-PBE) results for a relaxed structure of HoLuIr2.

a = 4.669 Å, b = 4.669 Å, c = 3.546 Å
α = 90.00°, β = 90.00°, γ = 90.00°
Fractional positions:
Ho1 0.000 0.000 0.000
Lu1 0.500 0.500 0.000
Ir1 0.000 0.500 0.500
Ir2 0.500 0.000 0.500

Computed properties:
Its symmetry is P4/mmm.

=====

Most stable to least stable, the ends of the list are (2) and (1).

=====

(1)
DFT (GGA-PBE) results for a relaxed structure of Ho2LuIr.

a = 9.526 Å, b = 9.526 Å, c = 9.526 Å
α = 22.98°, β = 22.98°, γ = 22.98°
Fractional positions:
Ho1 0.226 0.226 0.226
Ho2 0.774 0.774 0.774
Lu1 0.000 0.000 0.000
Ir1 0.500 0.500 0.500

Computed properties:
Its symmetry is R-3m.

=====

(2)
DFT (GGA-PBE) results for a relaxed structure of Ho2LuIr.

a = 3.486 Å, b = 3.486 Å, c = 8.536 Å
α = 90.00°, β = 90.00°, γ = 90.00°
Fractional positions:
Ho1 0.000 0.000 0.188
Ho2 0.000 0.000 0.812
Lu1 0.500 0.500 0.500
Ir1 0.500 0.500 0.000

Computed properties:
Its symmetry is P4/mmm.

=====

Most stable to least stable, the ends of the list are (2) and (1).

=====

(1)
DFT (GGA-PBE) results for a relaxed structure of NaHoIrO4.

a = 3.246 Å, b = 9.351 Å, c = 9.351 Å
α = 118.26°, β = 90.00°, γ = 90.00°
Fractional positions:
Na1 0.000 0.000 0.000
Na2 0.500 0.282 0.980
Na3 0.500 0.980 0.282
Ho1 0.500 0.294 0.639
Ho2 0.500 0.639 0.294
Ho3 0.500 0.681 0.681
Ir1 0.000 0.313 0.313
Ir2 0.000 0.654 0.976
Ir3 0.000 0.976 0.654
O1 0.000 0.195 0.447
O2 0.000 0.221 0.764
O3 0.000 0.447 0.195
O4 0.000 0.528 0.722
O5 0.000 0.722 0.528
O6 0.000 0.764 0.221
O7 0.500 0.183 0.183
O8 0.500 0.442 0.442
O9 0.500 0.527 0.980
O10 0.500 0.787 0.965
O11 0.500 0.965 0.787
O12 0.500 0.980 0.527

Computed properties:
Its symmetry is Amm2.

=====

(2)
DFT (GGA-PBE) results for a relaxed structure of NaHoIrO4.

a = 6.478 Å, b = 6.478 Å, c = 6.478 Å
α = 119.53°, β = 116.07°, γ = 93.87°
Fractional positions:
Na1 0.368 0.118 0.250
Na2 0.632 0.882 0.750
Ho1 0.000 0.500 0.500
Ho2 0.500 0.500 0.000
Ir1 0.000 0.000 0.500
Ir2 0.000 0.500 0.000
O1 0.181 0.246 0.936
O2 0.190 0.754 0.436
O3 0.231 0.262 0.530
O4 0.231 0.701 0.970
O5 0.769 0.299 0.030
O6 0.769 0.738 0.470
O7 0.810 0.246 0.564
O8 0.819 0.754 0.064

Computed properties:
Its symmetry is Imma.

=====

Most stable to least stable, the ends of the list are (1) and (2).

=====

(1)
DFT (GGA-PBE) results for a relaxed structure of Nd2Ho2Ir3.

a = 8.651 Å, b = 8.651 Å, c = 8.651 Å
α = 32.45°, β = 32.45°, γ = 32.45°
Fractional positions:
Nd1 0.124 0.124 0.124
Nd2 0.876 0.876 0.876
Ho1 0.373 0.373 0.373
Ho2 0.627 0.627 0.627
Ir1 0.000 0.000 0.000
Ir2 0.253 0.253 0.253
Ir3 0.747 0.747 0.747

Computed properties:
Its symmetry is R-3m.

=====

(2)
DFT (GGA-PBE) results for a relaxed structure of Nd2Ho2Ir3.

a = 4.456 Å, b = 5.998 Å, c = 7.500 Å
α = 98.30°, β = 90.07°, γ = 111.78°
Fractional positions:
Nd1 0.137 0.272 0.355
Nd2 0.863 0.728 0.645
Ho1 0.360 0.720 0.061
Ho2 0.640 0.280 0.939
Ir1 0.000 0.000 0.000
Ir2 0.189 0.379 0.738
Ir3 0.811 0.621 0.262

Computed properties:
Its symmetry is P-1.

=====

Most stable to least stable, the ends of the list are (1) and (2).

=====

(1)
DFT (GGA-PBE) results for a relaxed structure of NdHoIr.

a = 4.164 Å, b = 4.164 Å, c = 6.239 Å
α = 90.00°, β = 90.00°, γ = 120.00°
Fractional positions:
Nd1 0.000 0.000 0.000
Ho1 0.667 0.333 0.458
Ir1 0.333 0.667 0.242

Computed properties:
Its symmetry is P3m1.

=====

(2)
DFT (GGA-PBE) results for a relaxed structure of NdHoIr.

a = 6.955 Å, b = 6.955 Å, c = 6.955 Å
α = 150.71°, β = 150.71°, γ = 41.90°
Fractional positions:
Nd1 0.000 0.000 0.000
Ho1 0.253 0.253 0.000
Ir1 0.635 0.635 0.000

Computed properties:
Its symmetry is I4mm.

=====

Most stable to least stable, the ends of the list are (1) and (2).

=====

(1)
DFT (GGA-PBE) results for a relaxed structure of NdHo2Ir.

a = 9.068 Å, b = 9.068 Å, c = 9.068 Å
α = 25.58°, β = 25.58°, γ = 25.58°
Fractional positions:
Nd1 0.000 0.000 0.000
Ho1 0.553 0.553 0.553
Ho2 0.775 0.775 0.775
Ir1 0.164 0.164 0.164

Computed properties:
Its symmetry is R3m.

=====

(2)
DFT (GGA-PBE) results for a relaxed structure of NdHo2Ir.

a = 6.445 Å, b = 6.445 Å, c = 9.199 Å
α = 90.00°, β = 90.00°, γ = 145.08°
Fractional positions:
Nd1 0.071 0.929 0.750
Nd2 0.929 0.071 0.250
Ho1 0.357 0.643 0.567
Ho2 0.357 0.643 0.933
Ho3 0.643 0.357 0.067
Ho4 0.643 0.357 0.433
Ir1 0.246 0.754 0.250
Ir2 0.754 0.246 0.750

Computed properties:
Its symmetry is Cmcm.

=====

Most stable to least stable, the ends of the list are (2) and (1).

=====

(1)
DFT (GGA-PBE) results for a relaxed structure of NdHo2Ir.

a = 3.479 Å, b = 3.479 Å, c = 8.899 Å
α = 90.00°, β = 90.00°, γ = 90.00°
Fractional positions:
Nd1 0.000 0.000 0.000
Ho1 0.500 0.500 0.318
Ho2 0.500 0.500 0.682
Ir1 0.000 0.000 0.500

Computed properties:
Its symmetry is P4/mmm.

=====

(2)
DFT (GGA-PBE) results for a relaxed structure of NdHo2Ir.

a = 7.287 Å, b = 9.356 Å, c = 6.458 Å
α = 90.00°, β = 90.00°, γ = 90.00°
Fractional positions:
Nd1 0.034 0.250 0.133
Nd2 0.466 0.750 0.633
Nd3 0.534 0.250 0.367
Nd4 0.966 0.750 0.867
Ho1 0.175 0.065 0.669
Ho2 0.175 0.435 0.669
Ho3 0.325 0.565 0.169
Ho4 0.325 0.935 0.169
Ho5 0.675 0.065 0.831
Ho6 0.675 0.435 0.831
Ho7 0.825 0.565 0.331
Ho8 0.825 0.935 0.331
Ir1 0.118 0.750 0.434
Ir2 0.382 0.250 0.934
Ir3 0.618 0.750 0.066
Ir4 0.882 0.250 0.566

Computed properties:
Its symmetry is Pnma.

=====

(3)
DFT (GGA-PBE) results for a relaxed structure of NdHo2Ir.

a = 10.740 Å, b = 10.740 Å, c = 10.740 Å
α = 20.34°, β = 20.34°, γ = 20.34°
Fractional positions:
Nd1 0.000 0.000 0.000
Ho1 0.115 0.115 0.115
Ho2 0.885 0.885 0.885
Ir1 0.500 0.500 0.500

Computed properties:
Its symmetry is R-3m.

=====

Most stable to least stable, the ends of the list are (2) and (3).

=====

(1)
DFT (GGA-PBE) results for a relaxed structure of HoNi3Ir2.

a = 6.105 Å, b = 6.105 Å, c = 5.102 Å
α = 90.00°, β = 90.00°, γ = 85.03°
Fractional positions:
Ho1 0.197 0.803 0.750
Ho2 0.803 0.197 0.250
Ni1 0.057 0.578 0.250
Ni2 0.422 0.943 0.250
Ni3 0.454 0.546 0.250
Ni4 0.546 0.454 0.750
Ni5 0.578 0.057 0.750
Ni6 0.943 0.422 0.750
Ir1 0.264 0.264 0.000
Ir2 0.264 0.264 0.500
Ir3 0.736 0.736 0.000
Ir4 0.736 0.736 0.500

Computed properties:
Its symmetry is Cmcm.

=====

(2)
DFT (GGA-PBE) results for a relaxed structure of HoNi3Ir2.

a = 7.318 Å, b = 7.318 Å, c = 7.318 Å
α = 44.04°, β = 44.04°, γ = 44.04°
Fractional positions:
Ho1 0.214 0.214 0.214
Ho2 0.786 0.786 0.786
Ni1 0.252 0.714 0.714
Ni2 0.286 0.286 0.748
Ni3 0.286 0.748 0.286
Ni4 0.714 0.252 0.714
Ni5 0.714 0.714 0.252
Ni6 0.748 0.286 0.286
Ir1 0.000 0.000 0.000
Ir2 0.000 0.500 0.500
Ir3 0.500 0.000 0.500
Ir4 0.500 0.500 0.000

Computed properties:
Its symmetry is R-3m.

=====

Most stable to least stable, the ends of the list are (1) and (2).

=====

(1)
DFT (GGA-PBE) results for a relaxed structure of HoThNiIr.

a = 4.422 Å, b = 5.504 Å, c = 5.504 Å
α = 40.03°, β = 90.00°, γ = 90.00°
Fractional positions:
Ho1 0.000 0.000 0.000
Th1 0.500 0.724 0.724
Ni1 0.000 0.279 0.279
Ir1 0.500 0.446 0.446

Computed properties:
Its symmetry is Amm2.

=====

(2)
DFT (GGA-PBE) results for a relaxed structure of HoThNiIr.

a = 4.926 Å, b = 4.926 Å, c = 4.926 Å
α = 60.00°, β = 60.00°, γ = 60.00°
Fractional positions:
Ho1 0.000 0.000 0.000
Th1 0.500 0.500 0.500
Ni1 0.250 0.250 0.250
Ir1 0.750 0.750 0.750

Computed properties:
Its symmetry is F-43m.

=====

Most stable to least stable, the ends of the list are (1) and (2).

=====

(1)
DFT (GGA-PBE) results for a relaxed structure of HoPaIr.

a = 4.785 Å, b = 4.785 Å, c = 4.785 Å
α = 60.00°, β = 60.00°, γ = 60.00°
Fractional positions:
Ho1 0.000 0.000 0.000
Pa1 0.500 0.500 0.500
Ir1 0.250 0.250 0.250

Computed properties:
Its symmetry is F-43m.

=====

(2)
DFT (GGA-PBE) results for a relaxed structure of HoPaIr.

a = 5.979 Å, b = 5.979 Å, c = 5.979 Å
α = 145.20°, β = 145.20°, γ = 50.03°
Fractional positions:
Ho1 0.000 0.000 0.000
Pa1 0.296 0.296 0.000
Ir1 0.680 0.680 0.000

Computed properties:
Its symmetry is I4mm.

=====

(3)
DFT (GGA-PBE) results for a relaxed structure of HoPaIr.

a = 4.608 Å, b = 4.608 Å, c = 3.754 Å
α = 90.00°, β = 90.00°, γ = 120.00°
Fractional positions:
Ho1 0.000 0.000 0.000
Pa1 0.667 0.333 0.413
Ir1 0.333 0.667 0.670

Computed properties:
Its symmetry is P3m1.

=====

Most stable to least stable, the ends of the list are (2) and (3).

=====

(1)
DFT (GGA-PBE) results for a relaxed structure of HoPaIr2.

a = 4.875 Å, b = 4.875 Å, c = 4.875 Å
α = 60.00°, β = 60.00°, γ = 60.00°
Fractional positions:
Ho1 0.000 0.000 0.000
Pa1 0.500 0.500 0.500
Ir1 0.250 0.250 0.250
Ir2 0.750 0.750 0.750

Computed properties:
Its symmetry is Fm-3m.

=====

(2)
DFT (GGA-PBE) results for a relaxed structure of HoPaIr2.

a = 3.460 Å, b = 3.460 Å, c = 6.947 Å
α = 90.00°, β = 90.00°, γ = 90.00°
Fractional positions:
Ho1 0.000 0.000 0.000
Pa1 0.000 0.000 0.500
Ir1 0.500 0.500 0.270
Ir2 0.500 0.500 0.730

Computed properties:
Its symmetry is P4/mmm.

=====

Most stable to least stable, the ends of the list are (2) and (1).